Below is a relaxed NbNO crystal, with properties calculated at the GGA-PBE level.

**ρ**: 4.9 g/cm3
**Total DFT energy (no corrections)**: -9.366 eV per atom
**Uncorrected formation energy**: -4.74 eV per formula unit
**SG**: C2/m (12)
**Density of states at the Fermi level**: 0.0 states/eV/cell
**Energy relative to the lowest polymorph listed for this composition**: 0.17 eV per formula unit

```
NbNO
1.0
6.707 0.001 -0.013
5.505 3.832 -0.013
1.828 0.574 6.526
O Nb N
4 4 4
direct
0.057 0.057 0.624
0.943 0.943 0.376
0.873 0.873 0.014
0.127 0.127 0.986
0.788 0.788 0.298
0.101 0.101 0.282
0.212 0.212 0.702
0.899 0.899 0.718
0.257 0.257 0.359
0.743 0.743 0.641
0.638 0.638 0.267
0.362 0.362 0.733
```

Below is a relaxed NbNO crystal, with properties calculated at the GGA-PBE level.

**ρ**: 6.1 g/cm3
**Total DFT energy (no corrections)**: -9.399 eV per atom
**Uncorrected formation energy**: -4.84 eV per formula unit
**SG**: P1 (1)
**Density of states at the Fermi level**: 0.0 states/eV/cell
**Energy relative to the lowest polymorph listed for this composition**: 0.07 eV per formula unit

```
NbNO
1.0
5.046 -0.005 -0.001
-0.909 5.197 0.003
0.002 -0.038 10.210
O N Nb
8 8 8
direct
0.439 0.899 0.892
0.560 0.100 0.645
0.438 0.402 0.820
0.561 0.599 0.573
0.058 0.277 0.108
0.440 0.896 0.395
0.438 0.398 0.324
0.567 0.100 0.146
0.949 0.221 0.362
0.056 0.775 0.611
0.055 0.275 0.608
0.943 0.724 0.357
0.063 0.781 0.112
0.557 0.599 0.073
0.943 0.728 0.855
0.945 0.228 0.866
0.212 0.026 0.264
0.795 0.969 0.509
0.215 0.538 0.958
0.781 0.478 0.205
0.788 0.959 0.010
0.792 0.470 0.709
0.201 0.033 0.758
0.202 0.527 0.460
```

Below is a relaxed NbNO crystal, with properties calculated at the GGA-PBE level.

**ρ**: 6.1 g/cm3
**Total DFT energy (no corrections)**: -9.358 eV per atom
**Uncorrected formation energy**: -4.72 eV per formula unit
**SG**: P2_1/m (11)
**Energy relative to the lowest polymorph listed for this composition**: 0.19 eV per formula unit

```
NbNO
1.0
-1.400 -1.001 -2.888
2.103 -3.292 0.121
-4.596 -0.990 2.571
N O Nb
2 2 2
direct
0.250 0.769 0.056
0.750 0.231 0.944
0.250 0.733 0.571
0.750 0.267 0.429
0.250 0.359 0.213
0.750 0.641 0.787
```

Below is a relaxed NbNO crystal, with properties calculated at the GGA-PBE level.

**ρ**: 6.1 g/cm3
**Total DFT energy (no corrections)**: -9.422 eV per atom
**Uncorrected formation energy**: -4.91 eV per formula unit
**SG**: P2_1/c (14)
**Density of states at the Fermi level**: 0.0 states/eV/cell
**Energy relative to the lowest polymorph listed for this composition**: 0.00 eV per formula unit

```
NbNO
1.0
5.097 0.000 0.000
0.000 5.045 0.000
0.000 0.900 5.186
N O Nb
4 4 4
direct
0.755 0.444 0.525
0.255 0.556 0.975
0.245 0.556 0.475
0.745 0.444 0.025
0.678 0.939 0.350
0.178 0.061 0.150
0.822 0.939 0.850
0.322 0.061 0.650
0.549 0.706 0.720
0.049 0.294 0.780
0.951 0.706 0.220
0.451 0.294 0.280
```

Below is a relaxed NbNO2 crystal, with properties calculated at the GGA-PBE level.

**ρ**: 2.7 g/cm3
**Total DFT energy (no corrections)**: -7.512 eV per atom
**Uncorrected formation energy**: -1.74 eV per formula unit
**SG**: I4_1/amd (141)
**Density of states at the Fermi level**: 7.1 states/eV/cell

```
NbNO2
1.0
-0.705 4.750 -3.661
-5.995 -0.656 0.303
-3.472 4.865 2.002
O N Nb
4 2 2
direct
0.875 0.125 0.250
0.875 0.125 0.750
0.375 0.125 0.750
0.875 0.625 0.250
0.250 0.750 0.500
0.500 0.500 0.000
0.750 0.250 0.500
0.000 0.000 0.000
```

Below is a relaxed Nb2NO crystal, with properties calculated at the GGA-PBE level.

**ρ**: 8.0 g/cm3
**Total DFT energy (no corrections)**: -9.630 eV per atom
**Uncorrected formation energy**: -5.10 eV per formula unit
**SG**: R3m (160)
**Density of states at the Fermi level**: 1.6 states/eV/cell
**Energy relative to the lowest polymorph listed for this composition**: 0.00 eV per formula unit

```
Nb2NO
1.0
2.948 0.000 0.000
1.474 2.553 0.000
1.474 0.851 5.977
N Nb O
1 2 1
direct
0.663 0.663 0.010
0.253 0.253 0.240
0.077 0.077 0.768
0.506 0.506 0.481
```

Below is a relaxed Nb2NO crystal, with properties calculated at the GGA-PBE level.

**ρ**: 6.6 g/cm3
**Total DFT energy (no corrections)**: -8.979 eV per atom
**Uncorrected formation energy**: -2.49 eV per formula unit
**SG**: R-3m (166)
**Density of states at the Fermi level**: 3.7 states/eV/cell
**Energy relative to the lowest polymorph listed for this composition**: 2.60 eV per formula unit

```
Nb2NO
1.0
-0.438 3.010 0.118
-1.043 1.483 -2.445
-6.895 0.482 1.341
N O Nb
1 1 2
direct
0.000 0.000 0.000
0.500 0.500 0.500
0.092 0.092 0.725
0.908 0.908 0.275
```

Below is a relaxed NbNO2 crystal, with properties calculated at the GGA-PBE level.

**ρ**: 3.3 g/cm3
**Total DFT energy (no corrections)**: -7.302 eV per atom
**Uncorrected formation energy**: -0.90 eV per formula unit
**SG**: Cmcm (63)
**Density of states at the Fermi level**: 2.6 states/eV/cell

```
NbNO2
1.0
3.029 0.000 -0.304
0.000 3.091 0.000
-0.042 0.000 14.819
N O Nb
2 4 2
direct
0.942 0.750 0.883
0.058 0.250 0.117
0.842 0.250 0.684
0.227 0.250 0.455
0.773 0.750 0.545
0.158 0.750 0.316
0.301 0.250 0.602
0.699 0.750 0.398
```

Below is a relaxed NbNO crystal, with properties calculated at the GGA-PBE level.

**ρ**: 4.8 g/cm3
**Total DFT energy (no corrections)**: -9.391 eV per atom
**Uncorrected formation energy**: -4.82 eV per formula unit
**SG**: C2/m (12)
**Energy relative to the lowest polymorph listed for this composition**: 0.09 eV per formula unit

```
NbNO
1.0
-0.760 -4.245 5.390
2.948 -4.608 4.210
2.105 3.415 5.567
Nb N O
4 4 4
direct
0.814 0.814 0.814
0.186 0.186 0.186
0.895 0.895 0.219
0.105 0.105 0.781
0.258 0.258 0.853
0.742 0.742 0.147
0.052 0.052 0.140
0.948 0.948 0.860
0.142 0.142 0.490
0.858 0.858 0.510
0.368 0.368 0.208
0.632 0.632 0.792
```

Below is a relaxed NbNO crystal, with properties calculated at the GGA-PBE level.

**ρ**: 5.0 g/cm3
**Total DFT energy (no corrections)**: -9.361 eV per atom
**Uncorrected formation energy**: -4.73 eV per formula unit
**SG**: I4_1md (109)
**Energy relative to the lowest polymorph listed for this composition**: 0.18 eV per formula unit

```
NbNO
1.0
5.935 -0.006 0.000
3.286 4.943 0.000
-4.611 -2.468 2.807
N O Nb
2 2 2
direct
0.953 0.453 0.500
0.203 0.203 0.000
0.530 0.030 0.500
0.780 0.780 0.000
0.018 0.018 0.000
0.768 0.268 0.500
```

Below is a relaxed Nb2N2O crystal, with properties calculated at the GGA-PBE level.

**ρ**: 7.5 g/cm3
**Total DFT energy (no corrections)**: -9.503 eV per atom
**Uncorrected formation energy**: -5.76 eV per formula unit
**SG**: P4/mbm (127)
**Density of states at the Fermi level**: 3.3 states/eV/cell

```
Nb2N2O
1.0
-5.852 -0.205 -0.855
-0.575 -3.461 4.766
-0.326 2.350 1.667
Nb N O
4 4 2
direct
0.839 0.661 0.000
0.339 0.839 0.000
0.161 0.339 0.000
0.661 0.161 0.000
0.361 0.139 0.500
0.139 0.639 0.500
0.861 0.361 0.500
0.639 0.861 0.500
0.000 0.000 0.000
0.500 0.500 0.000
```

Below is a relaxed NbN3O crystal, with properties calculated at the GGA-PBE level.

**ρ**: 6.0 g/cm3
**Total DFT energy (no corrections)**: -6.422 eV per atom
**Uncorrected formation energy**: 7.89 eV per formula unit
**SG**: Pm-3m (221)
**Density of states at the Fermi level**: 1.3 states/eV/cell

```
NbN3O
1.0
3.470 0.000 0.000
0.000 3.470 0.000
0.000 0.000 3.470
Nb N O
1 3 1
direct
0.500 0.500 0.500
0.000 0.000 0.500
0.000 0.500 0.000
0.500 0.000 0.000
0.000 0.000 0.000
```

Below is a relaxed Nb3NO crystal, with properties calculated at the GGA-PBE level.

**ρ**: 6.9 g/cm3
**Total DFT energy (no corrections)**: -8.688 eV per atom
**Uncorrected formation energy**: 0.05 eV per formula unit
**SG**: Pm-3m (221)
**Density of states at the Fermi level**: 6.2 states/eV/cell
**Energy relative to the lowest polymorph listed for this composition**: 0.00 eV per formula unit

```
Nb3NO
1.0
-1.436 3.815 -1.024
-1.458 0.500 3.910
3.671 1.691 1.153
O Nb N
1 3 1
direct
0.500 0.500 0.500
0.500 0.000 0.000
0.000 0.500 0.000
0.000 0.000 0.500
0.000 0.000 0.000
```

Below is a relaxed NbN3O crystal, with properties calculated at the GGA-PBE level.

**ρ**: 3.7 g/cm3
**Total DFT energy (no corrections)**: -6.487 eV per atom
**Uncorrected formation energy**: 7.57 eV per formula unit
**SG**: Pm-3m (221)
**Density of states at the Fermi level**: 3.4 states/eV/cell

```
NbN3O
1.0
4.078 0.000 0.000
0.000 4.078 0.000
0.000 0.000 4.078
Nb N O
1 3 1
direct
0.000 0.000 0.000
0.000 0.000 0.500
0.500 0.000 0.000
0.000 0.500 0.000
0.500 0.500 0.500
```

Below is a relaxed Nb2NO crystal, with properties calculated at the GGA-PBE level.

**ρ**: 6.4 g/cm3
**Total DFT energy (no corrections)**: -9.272 eV per atom
**Uncorrected formation energy**: -3.66 eV per formula unit
**SG**: I-42d (122)
**Density of states at the Fermi level**: 9.2 states/eV/cell
**Energy relative to the lowest polymorph listed for this composition**: 1.43 eV per formula unit

```
Nb2NO
1.0
-2.468 1.671 -3.857
-4.148 -0.243 2.549
-2.649 5.137 0.841
Nb N O
4 2 2
direct
0.375 0.386 0.750
0.875 0.864 0.750
0.614 0.125 0.250
0.136 0.625 0.250
0.500 0.500 0.000
0.250 0.750 0.500
0.750 0.250 0.500
0.000 0.000 0.000
```

Below is a relaxed Nb10N11O crystal, with properties calculated at the GGA-PBE level.

**ρ**: 7.2 g/cm3
**Total DFT energy (no corrections)**: -10.071 eV per atom
**Uncorrected formation energy**: -24.34 eV per formula unit
**SG**: Pc (7)
**Density of states at the Fermi level**: 17.0 states/eV/cell

```
Nb10N11O
1.0
10.545 0.000 0.000
0.000 5.247 0.001
0.000 5.208 9.112
N Nb O
22 20 2
direct
0.373 0.345 0.829
0.126 0.340 0.496
0.874 0.337 0.501
0.375 0.666 0.501
0.126 0.002 0.832
0.127 0.001 0.327
0.372 0.002 0.670
0.628 0.663 0.500
0.125 0.665 0.668
0.126 0.337 0.001
0.628 0.002 0.170
0.372 0.663 0.000
0.627 0.339 0.830
0.627 0.345 0.329
0.873 0.001 0.827
0.874 0.002 0.332
0.626 0.997 0.668
0.874 0.340 0.996
0.625 0.666 0.001
0.373 0.339 0.330
0.875 0.665 0.168
0.374 0.997 0.168
0.502 0.002 0.337
0.743 0.660 0.846
0.753 0.334 0.166
0.500 0.327 0.499
0.002 0.324 0.837
0.003 0.007 0.661
0.247 0.334 0.666
0.741 0.313 0.665
0.500 0.327 0.999
0.498 0.002 0.837
0.500 0.676 0.663
0.249 0.667 0.834
0.259 0.313 0.165
0.997 0.007 0.161
0.500 0.676 0.163
0.998 0.324 0.337
0.751 0.667 0.334
0.997 0.677 0.996
0.003 0.677 0.496
0.257 0.660 0.346
0.872 0.655 0.671
0.128 0.655 0.171
```

Below is a relaxed NbOsNO2 crystal, with properties calculated at the GGA-PBE level.

**ρ**: 9.2 g/cm3
**Total DFT energy (no corrections)**: -7.805 eV per atom
**Uncorrected formation energy**: 0.52 eV per formula unit
**SG**: P4/mmm (123)
**Density of states at the Fermi level**: 5.2 states/eV/cell

```
NbOsNO2
1.0
-0.982 -0.115 3.825
3.810 -0.402 0.966
0.349 3.792 0.203
N Os O Nb
1 1 2 1
direct
0.000 0.000 0.500
0.000 0.000 0.000
0.500 0.000 0.000
0.000 0.500 0.000
0.500 0.500 0.500
```

Below is a relaxed NbOsNO2 crystal, with properties calculated at the GGA-PBE level.

**ρ**: 8.3 g/cm3
**Total DFT energy (no corrections)**: -7.840 eV per atom
**Uncorrected formation energy**: 0.34 eV per formula unit
**SG**: P4/mmm (123)
**Density of states at the Fermi level**: 3.7 states/eV/cell

```
NbOsNO2
1.0
-0.023 -0.944 -3.812
-0.800 -3.731 0.928
-4.171 0.849 -0.185
Nb O N Os
1 2 1 1
direct
0.000 0.000 0.000
0.500 0.000 0.000
0.000 0.500 0.000
0.000 0.000 0.500
0.500 0.500 0.500
```

Below is a relaxed NbPNO2 crystal, with properties calculated at the GGA-PBE level.

**ρ**: 3.5 g/cm3
**Total DFT energy (no corrections)**: -6.934 eV per atom
**Uncorrected formation energy**: -0.95 eV per formula unit
**SG**: P4/mmm (123)
**Density of states at the Fermi level**: 0.7 states/eV/cell

```
NbPNO2
1.0
3.826 0.000 0.000
0.000 3.826 0.000
0.000 0.000 5.451
O N Nb P
2 1 1 1
direct
0.000 0.500 0.000
0.500 0.000 0.000
0.500 0.500 0.500
0.000 0.000 0.000
0.000 0.000 0.500
```

Below is a relaxed NbPNO2 crystal, with properties calculated at the GGA-PBE level.

**ρ**: 5.8 g/cm3
**Total DFT energy (no corrections)**: -7.023 eV per atom
**Uncorrected formation energy**: -1.39 eV per formula unit
**SG**: P4/mmm (123)
**Density of states at the Fermi level**: 2.0 states/eV/cell

```
NbPNO2
1.0
3.571 0.000 0.000
0.000 3.571 0.000
0.000 0.000 3.832
Nb O P N
1 2 1 1
direct
0.500 0.500 0.500
0.000 0.500 0.000
0.500 0.000 0.000
0.000 0.000 0.000
0.000 0.000 0.500
```

Below is a relaxed NbPNO2 crystal, with properties calculated at the GGA-PBE level.

**ρ**: 5.4 g/cm3
**Total DFT energy (no corrections)**: -6.234 eV per atom
**Uncorrected formation energy**: 2.55 eV per formula unit
**SG**: P4/mmm (123)
**Density of states at the Fermi level**: 2.3 states/eV/cell

```
NbPNO2
1.0
3.749 0.000 0.000
0.000 3.749 0.000
0.000 0.000 3.718
P O Nb N
1 2 1 1
direct
0.000 0.000 0.500
0.000 0.500 0.000
0.500 0.000 0.000
0.500 0.500 0.500
0.000 0.000 0.000
```

Below is a relaxed NbP2NO crystal, with properties calculated at the GGA-PBE level.

**ρ**: 5.2 g/cm3
**Total DFT energy (no corrections)**: -6.338 eV per atom
**Uncorrected formation energy**: 2.48 eV per formula unit
**SG**: P4/mmm (123)
**Density of states at the Fermi level**: 1.6 states/eV/cell
**Energy relative to the lowest polymorph listed for this composition**: 0.00 eV per formula unit

```
NbP2NO
1.0
3.856 0.000 0.000
0.000 3.856 0.000
0.000 0.000 3.949
O N P Nb
1 1 2 1
direct
0.000 0.000 0.500
0.000 0.000 0.000
0.000 0.500 0.000
0.500 0.000 0.000
0.500 0.500 0.500
```

Below is a relaxed NbP2NO crystal, with properties calculated at the GGA-PBE level.

**ρ**: 3.2 g/cm3
**Total DFT energy (no corrections)**: -6.060 eV per atom
**Uncorrected formation energy**: 3.87 eV per formula unit
**SG**: P4/mmm (123)
**Density of states at the Fermi level**: 2.2 states/eV/cell
**Energy relative to the lowest polymorph listed for this composition**: 1.39 eV per formula unit

```
NbP2NO
1.0
4.959 0.000 0.000
0.000 4.959 0.000
0.000 0.000 3.901
P Nb O N
2 1 1 1
direct
0.500 0.000 0.000
0.000 0.500 0.000
0.000 0.000 0.000
0.000 0.000 0.500
0.500 0.500 0.500
```